[1]
A plane-wave DFT calculation with PBE-GGA was carried out for crystalline KCdSi at its relaxed geometry.

final energy: -0.1515 Ry per atom
symmetry: No. 216

```
3
Lattice="5.032 0.000 0.000 2.516 4.358 0.000 2.516 1.453 4.109" Properties=species:S:1:pos:R:3 pbc="T T T"
Cd 0.000 0.000 0.000
K 5.032 2.905 2.054
Si 7.548 4.358 3.082
```

=====

[2]
A plane-wave DFT calculation with PBE-GGA was carried out for crystalline K2CdSi at its relaxed geometry.

final energy: -0.1326 Ry per atom
symmetry: No. 71

```
4
Lattice="6.286 0.007 -0.035 2.571 5.736 0.035 -4.415 -2.892 3.414" Properties=species:S:1:pos:R:3 pbc="T T T"
Cd 3.150 -0.007 1.690
K 0.002 0.001 0.000
K 4.427 2.870 0.000
Si 1.292 2.858 1.725
```

=====

[3]
A plane-wave DFT calculation with PBE-GGA was carried out for crystalline KCdSi2 at its relaxed geometry.

final energy: -0.2155 Ry per atom
symmetry: No. 123

```
4
Lattice="-1.030 2.235 2.856 -0.028 -2.974 2.317 6.944 1.170 1.588" Properties=species:S:1:pos:R:3 pbc="T T T"
Cd 1.207 -0.077 2.983
K 4.679 0.508 3.777
Si 0.622 0.105 0.142
Si 2.850 0.480 0.652
```

=====

[4]
A plane-wave DFT calculation with PBE-GGA was carried out for crystalline K2CdSi at its relaxed geometry.

final energy: -0.1524 Ry per atom
symmetry: No. 38

```
4
Lattice="-0.856 -2.612 -3.836 -0.832 -4.552 3.285 -5.945 -1.001 2.007" Properties=species:S:1:pos:R:3 pbc="T T T"
Cd -5.059 -4.685 1.416
K -6.319 -5.364 5.062
K -2.623 -2.873 -0.362
Si -3.796 -3.573 3.280
```

=====

[5]
A plane-wave DFT calculation with PBE-GGA was carried out for crystalline K2CdSi at its relaxed geometry.

final energy: -0.1288 Ry per atom
symmetry: No. 225

```
4
Lattice="0.000 4.117 4.117 4.117 0.000 4.117 4.117 4.117 0.000" Properties=species:S:1:pos:R:3 pbc="T T T"
K 2.059 2.059 2.059
K 6.176 6.176 6.176
Si 0.000 0.000 0.000
Cd 4.117 4.117 4.117
```

=====

[6]
A plane-wave DFT calculation with PBE-GGA was carried out for crystalline KCdSi2 at its relaxed geometry.

final energy: -0.2155 Ry per atom
symmetry: No. 12

```
4
Lattice="5.066 0.007 -0.013 4.124 2.941 -0.013 1.074 0.345 6.805" Properties=species:S:1:pos:R:3 pbc="T T T"
Cd 7.698 2.470 5.084
K 2.566 0.823 1.695
Si 1.043 0.335 6.121
Si 5.163 1.656 4.073
```

=====

[7]
A plane-wave DFT calculation with PBE-GGA was carried out for crystalline K2CdSi at its relaxed geometry.

final energy: -0.1531 Ry per atom
symmetry: No. 44

```
4
Lattice="6.234 -0.009 0.003 1.528 6.044 -0.003 -3.275 -3.796 3.704" Properties=species:S:1:pos:R:3 pbc="T T T"
Cd 2.811 -0.867 1.854
K 7.532 5.856 0.000
K 1.331 2.838 1.851
Si 4.455 3.464 0.000
```

=====

[8]
A plane-wave DFT calculation with PBE-GGA was carried out for crystalline KCdSi2 at its relaxed geometry.

final energy: -0.2120 Ry per atom
symmetry: No. 141

```
8
Lattice="-3.318 1.883 3.258 2.939 -1.415 3.811 4.200 8.510 3.222" Properties=species:S:1:pos:R:3 pbc="T T T"
K -0.189 0.234 3.534
K 3.475 3.664 5.284
Si -1.486 3.598 4.133
Si -0.016 2.891 6.038
Si 2.273 6.912 4.114
Si 0.615 7.853 5.743
Cd 0.000 0.000 0.000
Cd 0.346 5.313 5.007
```

=====

[9]
A plane-wave DFT calculation with PBE-GGA was carried out for crystalline KCdSi3 at its relaxed geometry.

final energy: -0.1238 Ry per atom
symmetry: No. 221

```
5
Lattice="-4.794 -2.656 -0.484 2.635 -4.818 0.334 -0.585 0.059 5.470" Properties=species:S:1:pos:R:3 pbc="T T T"
K 0.000 0.000 0.000
Si 1.318 -2.409 0.167
Si -0.293 0.029 2.735
Si -2.397 -1.328 -0.242
Cd -1.372 -3.707 2.660
```

=====

[10]
A plane-wave DFT calculation with PBE-GGA was carried out for crystalline KCdSi3 at its relaxed geometry.

final energy: -0.1981 Ry per atom
symmetry: No. 221

```
5
Lattice="-3.975 3.343 -0.533 -3.381 -3.962 0.368 -0.169 0.626 5.181" Properties=species:S:1:pos:R:3 pbc="T T T"
K -3.763 0.003 2.508
Si -1.690 -1.981 0.184
Si -0.084 0.313 2.590
Si -1.988 1.671 -0.267
Cd 0.000 0.000 0.000
```

=====

[11]
A plane-wave DFT calculation with PBE-GGA was carried out for crystalline K2CdSi at its relaxed geometry.

final energy: -0.1393 Ry per atom
symmetry: No. 35

```
4
Lattice="3.925 0.032 0.000 -0.681 3.865 0.000 0.000 0.000 10.021" Properties=species:S:1:pos:R:3 pbc="T T T"
Cd 1.622 1.949 6.647
K 0.000 0.000 9.300
K 1.622 1.949 3.288
Si 0.000 0.000 5.818
```

=====

[12]
A plane-wave DFT calculation with PBE-GGA was carried out for crystalline KCdSi at its relaxed geometry.

final energy: -0.1625 Ry per atom
symmetry: No. 44

```
3
Lattice="6.695 -0.038 -0.057 4.640 4.827 0.057 -5.330 -3.194 2.495" Properties=species:S:1:pos:R:3 pbc="T T T"
Cd 0.495 0.209 0.000
K 3.727 1.575 0.000
Si 7.113 3.005 0.000
```